# 1
Density functional theory data (PBE-GGA) for TaSb2Mo after structural relaxation.

Output
The uncorrected formation energy is 0.51 eV per atom. As for the density of states at the Fermi level: 4.56 states/eV per cell.

Cell lengths 3.1881, 4.3378, 5.8718 Å; angles 90.00, 99.78, 90.00 degrees
Atoms (fractional coordinates):
Ta 0.0000 0.0000 0.0000
Sb 0.2820 0.5000 0.7447
Sb 0.7180 0.5000 0.2553
Mo 0.5000 0.0000 0.5000

# 2
Density functional theory data (PBE-GGA) for Sr4SbN after structural relaxation.

Output
The uncorrected formation energy is -0.59 eV per atom. As for the density of states at the Fermi level: 6.76 states/eV per cell.

Cell lengths 9.6465, 9.6465, 6.9298 Å; angles 100.88, 100.88, 45.06 degrees
Atoms (fractional coordinates):
Sr 0.1193 0.6514 0.5085
Sr 0.2095 0.2095 0.1405
Sr 0.2249 0.7751 0.0000
Sr 0.3486 0.8807 0.4915
Sr 0.6514 0.1193 0.5085
Sr 0.7751 0.2249 0.0000
Sr 0.7905 0.7905 0.8595
Sr 0.8807 0.3486 0.4915
Sb 0.2737 0.2737 0.7177
Sb 0.7263 0.7263 0.2823
N 0.0819 0.0819 0.2256
N 0.9181 0.9181 0.7744

# 3
Density functional theory data (PBE-GGA) for Ba6Sb2PdN after structural relaxation.

Output
The uncorrected formation energy is -0.71 eV per atom. As for the density of states at the Fermi level: 8.58 states/eV per cell.

Cell lengths 7.8475, 8.6838, 13.8280 Å; angles 90.00, 124.32, 90.00 degrees
Atoms (fractional coordinates):
Ba 0.1346 0.0307 0.2332
Ba 0.1346 0.4693 0.7332
Ba 0.2199 0.7093 0.0490
Ba 0.2199 0.7907 0.5490
Ba 0.3451 0.1757 0.0499
Ba 0.3451 0.3243 0.5499
Ba 0.6549 0.6757 0.4501
Ba 0.6549 0.8243 0.9501
Ba 0.7801 0.2093 0.4510
Ba 0.7801 0.2907 0.9510
Ba 0.8654 0.5307 0.2668
Ba 0.8654 0.9693 0.7668
Sb 0.2842 0.0842 0.7487
Sb 0.2842 0.4158 0.2487
Sb 0.7158 0.5842 0.7513
Sb 0.7158 0.9158 0.2513
Pd 0.5000 0.0000 0.5000
Pd 0.5000 0.5000 0.0000
N 0.0000 0.0000 0.0000
N 0.0000 0.5000 0.5000

# 4
Density functional theory data (PBE-GGA) for RbTl2CoSn after structural relaxation.

Output
As for the density of states at the Fermi level: 7.05 states/eV per cell. The energy above the lowest structure with this stoichiometry is 1510.3 meV per atom.

Cell lengths 6.2161, 6.2161, 6.2691 Å; angles 90.00, 90.00, 90.00 degrees
Atoms (fractional coordinates):
Rb 0.0000 0.0000 0.0000
Tl 0.0000 0.5000 0.0000
Tl 0.5000 0.0000 0.0000
Co 0.5000 0.5000 0.5000
Sn 0.0000 0.0000 0.5000